ZnCo2Ir | PBE | relaxed

Unit cell a=2.751 b=4.451 c=8.497 alpha=90.00 beta=90.00 gamma=90.00
Space group Cmm2 (No. 35)
Unique sites:
Zn 0.000 0.000 0.000 x2
Co 0.000 0.000 0.477 x2
Co 0.000 0.500 0.249 x2
Ir 0.000 0.500 0.734 x2

Mass density: 11.99 g/cm³
M_tot: 0.934 μB/atom
Formation energy from the elements: 0.133 eV/atom

=====

ErAu3 | PBE | relaxed

Unit cell a=4.996 b=6.229 c=5.123 alpha=90.00 beta=90.00 gamma=90.00
Space group Pmmn (No. 59, origin choice 2)
Unique sites:
Er 0.250 0.250 0.159 x2
Au 0.250 0.504 0.666 x4
Au 0.250 0.750 0.170 x2

Mass density: 15.80 g/cm³
M_tot: 0.000 μB/atom
Formation energy from the elements: -0.726 eV/atom

=====

LiCaSn | PBE | relaxed

Unit cell a=4.9001 b=4.9001 c=3.6514 alpha=90.00 beta=90.00 gamma=120.00
Space group P-6m2 (No. 187)
Unique sites:
Li 0.0000 0.0000 0.0000 x1
Ca 0.6667 0.3333 0.5000 x1
Sn 0.3333 0.6667 0.0000 x1

Mass density: 3.62 g/cm³
M_tot: 0.000 μB/atom
Formation energy from the elements: -0.537 eV/atom

=====

CePb4 | PBE | relaxed

Unit cell a=5.975 b=5.975 c=5.975 alpha=90.00 beta=90.00 gamma=90.00
Space group Pm-3m (No. 221)
Unique sites:
Ce 0.000 0.000 0.000 x1
Pb 0.000 0.000 0.500 x3
Pb 0.500 0.500 0.500 x1

Mass density: 7.54 g/cm³
M_tot: 0.196 μB/atom
Formation energy from the elements: 0.562 eV/atom

=====

Ca3SO6 | PBE | relaxed

Unit cell a=9.251 b=11.188 c=5.908 alpha=90.00 beta=90.00 gamma=90.00
Space group Cmc2_1 (No. 36)
Unique sites:
Ca 0.000 0.079 0.000 x4
Ca 0.217 0.403 0.011 x8
S 0.000 0.326 0.556 x4
O 0.000 0.293 0.807 x4
O 0.000 0.459 0.539 x4
O 0.132 0.277 0.446 x8
O 0.163 0.004 0.256 x8

Mass density: 2.70 g/cm³
M_tot: 0.000 μB/atom
Uncorrected formation energy: -2412 meV per atom

=====

ZrRe2Rh | PBE | relaxed

Unit cell a=2.756 b=2.756 c=8.565 alpha=90.00 beta=90.00 gamma=90.00
Space group P4/mmm (No. 123)
Unique sites:
Zr 0.000 0.000 0.000 x1
Re 0.500 0.500 0.274 x2
Rh 0.000 0.000 0.500 x1

Mass density: 14.46 g/cm³
M_tot: 0.000 μB/atom
Energy above the lowest structure with this stoichiometry: 0.186 eV per atom
Formation energy from the elements: 0.061 eV/atom

=====

CsSrCa2Ga | PBE | relaxed

Unit cell a=6.116 b=6.116 c=6.425 alpha=90.00 beta=90.00 gamma=90.00
Space group P4/mmm (No. 123)
Unique sites:
Cs 0.000 0.000 0.000 x1
Sr 0.500 0.500 0.000 x1
Ca 0.000 0.500 0.500 x2
Ga 0.500 0.500 0.500 x1

Mass density: 2.56 g/cm³
M_tot: 0.000 μB/atom
Formation energy from the elements: -0.027 eV/atom

=====

Y3Al2BRu3 | PBE | relaxed

Unit cell a=7.2580 b=7.2580 c=3.5270 alpha=90.00 beta=90.00 gamma=120.00
Space group P-62m (No. 189)
Unique sites:
Y 0.0000 0.6376 0.0000 x3
Al 0.3333 0.6667 0.5000 x2
B 0.0000 0.0000 0.0000 x1
Ru 0.0000 0.2293 0.5000 x3

Mass density: 6.55 g/cm³
M_tot: 0.000 μB/atom
Formation energy from the elements: -0.346 eV/atom

=====

CaCuN | PBE | relaxed

Unit cell a=17.399 b=3.841 c=6.754 alpha=90.00 beta=110.46 gamma=90.00
Space group C2/m (No. 12)
Unique sites:
Ca 0.053 0.000 0.336 x4
Ca 0.243 0.000 0.687 x4
Cu 0.094 0.500 0.724 x4
Cu 0.135 0.000 0.011 x4
N 0.097 0.000 0.713 x4
N 0.180 0.000 0.302 x4

Mass density: 3.69 g/cm³
M_tot: 0.000 μB/atom
Uncorrected formation energy: -418 meV per atom

=====

Ba2AsBr | PBE | relaxed

Unit cell a=4.305 b=4.466 c=16.499 alpha=90.00 beta=90.00 gamma=90.00
Space group Imm2 (No. 44)
Unique sites:
Ba 0.000 0.000 0.000 x2
Ba 0.000 0.500 0.218 x2
As 0.000 0.000 0.577 x2
Br 0.000 0.500 0.821 x2

Mass density: 4.50 g/cm³
M_tot: 0.000 μB/atom
Uncorrected formation energy: -1413 meV per atom

=====

LiMg2Al | PBE | relaxed

Unit cell a=3.409 b=3.409 c=6.683 alpha=90.00 beta=90.00 gamma=90.00
Space group P4mm (No. 99)
Unique sites:
Li 0.000 0.000 0.000 x1
Mg 0.000 0.000 0.541 x1
Mg 0.500 0.500 0.250 x1
Al 0.500 0.500 0.790 x1

Mass density: 1.76 g/cm³
M_tot: 0.000 μB/atom
Formation energy from the elements: -0.026 eV/atom

=====

Ce2Ni3Ir | PBE | relaxed

Unit cell a=3.683 b=4.408 c=6.803 alpha=90.00 beta=90.00 gamma=90.00
Space group Pmm2 (No. 25)
Unique sites:
Ce 0.000 0.000 0.000 x1
Ce 0.000 0.500 0.494 x1
Ni 0.500 0.000 0.684 x1
Ni 0.500 0.500 0.158 x1
Ni 0.500 0.500 0.810 x1
Ir 0.500 0.000 0.325 x1

Mass density: 9.75 g/cm³
M_tot: 0.066 μB/atom
Energy above the lowest structure with this stoichiometry: 0.133 eV per atom
Formation energy from the elements: -0.388 eV/atom

=====

Question: What is the mass density in the ninth record?
Answer: 3.69 g/cm³

=====

Question: Look up the M_tot of the eleventh one.
Answer: 0.000 μB/atom